Below is a geometry-optimized SiHgPb structure, with properties calculated at the PBEsol level.

E (eV per atom): -3.15
Formation energy (no corrections) (eV/atom): 0.29
Crystal system: trigonal
ΔE to the lowest computed polymorph (eV/atom): 0.000

Unit cell a=4.1347 b=4.1347 c=4.8587 alpha=90.00 beta=90.00 gamma=120.00
Last column: nearest neighbours and their distance in Å.
Fractional positions:
Si (0.0000, 0.0000, 0.0000)  3 Hg 2.62, 3 Pb 2.93
Hg (0.3333, 0.6667, 0.7791)  3 Si 2.62
Pb (0.6667, 0.3333, 0.3496)  3 Si 2.93, 3 Hg 3.17



Below is a geometry-optimized SiHgPb2 structure, with properties calculated at the PBEsol level.

E (eV per atom): -3.31
Formation energy (no corrections) (eV/atom): 0.27
Crystal system: trigonal
ΔE to the lowest computed polymorph (eV/atom): 0.000

Unit cell a=10.3216 b=10.3216 c=10.3216 alpha=18.96 beta=18.96 gamma=18.96
Last column: nearest neighbours and their distance in Å.
Fractional positions:
Si (0.0000, 0.0000, 0.0000)  6 Pb 3.01
Hg (0.5000, 0.5000, 0.5000)  6 Hg 3.40, 6 Pb 3.41
Pb (0.2583, 0.2583, 0.2583)  3 Si 3.01
Pb (0.7417, 0.7417, 0.7417)  3 Si 3.01



Below is a geometry-optimized Si2HgPb structure, with properties calculated at the PBEsol level.

E (eV per atom): -3.48
Formation energy (no corrections) (eV/atom): 0.53
Crystal system: cubic
ΔE to the lowest computed polymorph (eV/atom): 0.102

Unit cell a=4.9284 b=4.9284 c=4.9284 alpha=60.00 beta=60.00 gamma=60.00
Last column: nearest neighbours and their distance in Å.
Fractional positions:
Si (0.0000, 0.0000, 0.0000)  4 Pb 3.02, 4 Si 3.02
Si (0.2500, 0.2500, 0.2500)  4 Hg 3.02, 4 Si 3.02
Hg (0.5000, 0.5000, 0.5000)  4 Pb 3.02, 4 Si 3.02
Pb (0.7500, 0.7500, 0.7500)  4 Hg 3.02, 4 Si 3.02